The following is a GGA-PBE calculation of a relaxed TiMnSn4 crystal, from Alexandria.

Energy of formation ... -0.046 eV per atom
Total magnetization ... 6.440 μB/cell
D(E_F) ... 4.3 states/eV/f.u.
DFT total energy ... -5.56 eV/atom
Excess energy over the best structure of this formula in the dataset ... 0.45 eV/f.u.

Cell lengths 6.6684, 6.6684, 11.4513 Å; angles 90.00, 90.00, 90.00 degrees
Space group I4/mcm (No. 140)
Asymmetric unit:
Ti (0.0000, 0.0000, 0.0000) [4 per cell]
Mn (0.0000, 0.0000, 0.2500) [4 per cell]
Sn (0.1613, 0.3387, 0.1356) [16 per cell]